The following is a PBE calculation of a relaxed structure of BaEuAgAs, from the Alexandria database.

Output
Symmetry = F-43m
DFT formation energy = -0.688 eV/atom
Raw total energy = -5.612 eV/atom
Magnetization = 7.002 μB/cell

Cell lengths 5.5341, 5.5341, 5.5341 Å; angles 60.00, 60.00, 60.00 degrees
Sites, in units of the cell vectors:
Ba1 0.0000 0.0000 0.0000
Eu1 0.5000 0.5000 0.5000
Ag1 0.2500 0.2500 0.2500
As1 0.7500 0.7500 0.7500